ScNiIr2 (PBE-GGA, optimized geometry); uncorrected energy = -7.68 eV per atom; spin magnetization = 0.76 μB per cell; ΔE_f = -0.90 eV/f.u.; crystal system = cubic
1.0
4.3997 0.0000 0.0000
2.1998 3.8102 0.0000
2.1998 1.2701 3.5923
Ni Ir Sc
1 2 1
Direct
0.5000 0.5000 0.5000
0.2500 0.2500 0.2500
0.0000 0.0000 0.0000
0.7500 0.7500 0.7500